Record 1
Here is crystalline TaBiI2O at its relaxed geometry from Alexandria. Energies are from PBE-GGA.

## Properties
E_form (uncorrected) (eV per atom): -0.40
Energy relative to the lowest polymorph listed for this composition (meV per atom): 0
Magnetization (μB/cell): 1.25

Lattice parameters (Å, degrees): 5.894 5.894 3.884 90.00 90.00 90.00
Space group P4/mmm (No. 123)
Unique sites:
Ta (0.000, 0.000, 0.000)
Bi (0.500, 0.500, 0.500)
I (0.000, 0.500, 0.000)
O (0.000, 0.000, 0.500)

Record 2
Here is crystalline Al2Cr2Ga at its relaxed geometry from Alexandria. Energies are from PBE-GGA.

## Properties
Energy relative to the lowest polymorph listed for this composition (meV per atom): 0
Calculated formation energy (eV per atom): 0.011
Magnetization (μB/cell): 0.00

Lattice parameters (Å, degrees): 6.136 6.136 3.885 90.00 90.00 90.00
Space group P4/mbm (No. 127)
Unique sites:
Al (0.164, 0.336, 0.000)
Cr (0.125, 0.625, 0.500)
Ga (0.000, 0.000, 0.500)

Record 3
Here is crystalline CePmZn6 at its relaxed geometry from Alexandria. Energies are from PBE-GGA.

## Properties
Calculated formation energy (eV per atom): -0.260
Magnetization (μB/cell): 1.40

Lattice parameters (Å, degrees): 4.422 6.626 10.879 90.00 90.00 90.00
Space group Amm2 (No. 38)
Unique sites:
Ce (0.000, 0.000, 0.000)
Pm (0.500, 0.000, 0.309)
Zn (0.000, 0.000, 0.503)
Zn (0.000, 0.203, 0.732)
Zn (0.500, 0.000, 0.810)
Zn (0.500, 0.208, 0.575)

Record 4
Here is crystalline SrV2PtPb at its relaxed geometry from Alexandria. Energies are from PBE-GGA.

## Properties
Calculated formation energy (eV per atom): 0.467
Magnetization (μB/cell): 5.58

Lattice parameters (Å, degrees): 4.946 4.946 5.668 90.00 90.00 90.00
Space group P4/mmm (No. 123)
Unique sites:
Sr (0.000, 0.000, 0.000)
V (0.000, 0.500, 0.500)
Pt (0.000, 0.000, 0.500)
Pb (0.500, 0.500, 0.000)

Record 5
Here is crystalline SmThAlAg at its relaxed geometry from Alexandria. Energies are from PBE-GGA.

## Properties
Calculated formation energy (eV per atom): -0.186
Magnetization (μB/cell): 0.01

Lattice parameters (Å, degrees): 7.466 7.466 7.466 90.00 90.00 90.00
Space group F-43m (No. 216)
Unique sites:
Sm (0.000, 0.000, 0.000)
Th (0.000, 0.000, 0.500)
Al (0.250, 0.250, 0.250)
Ag (0.250, 0.250, 0.750)

Record 6
Here is crystalline Er3Mg2Sc4 at its relaxed geometry from Alexandria. Energies are from PBE-GGA.

## Properties
Calculated formation energy (eV per atom): 0.023
Magnetization (μB/cell): 0.00

Lattice parameters (Å, degrees): 14.091 4.620 7.635 90.00 108.16 90.00
Space group C2/m (No. 12)
Unique sites:
Er (0.000, 0.000, 0.000)
Er (0.112, 0.000, 0.660)
Mg (0.171, 0.500, 0.001)
Sc (0.060, 0.500, 0.337)
Sc (0.221, 0.000, 0.338)